Entry P
TiFe2HPt: optimized geometry, PBE-GGA.

Values from the calculation:
Total magnetization ... 2.88 μB/cell

Unit cell a=3.793 b=3.793 c=3.871 alpha=90.00 beta=90.00 gamma=90.00
Atoms (fractional coordinates):
1 Ti 0.500 0.500 0.500
2 Fe 0.500 0.000 0.000
3 Fe 0.000 0.500 0.000
4 H 0.000 0.000 0.000
5 Pt 0.000 0.000 0.500

Entry Q
TiFe2HPt: optimized geometry, PBE-GGA.

Values from the calculation:
Total magnetization ... 0.00 μB/cell

Unit cell a=3.710 b=3.710 c=3.847 alpha=90.00 beta=90.00 gamma=90.00
Atoms (fractional coordinates):
1 H 0.000 0.000 0.000
2 Fe 0.000 0.500 0.000
3 Fe 0.500 0.000 0.000
4 Ti 0.000 0.000 0.500
5 Pt 0.500 0.500 0.500

Ordering by calculated energy gives the sequence entry Q, entry P, with the first entry being the most stable.

Entry P
V2FeHPt: optimized geometry, PBE-GGA.

Values from the calculation:
Total magnetization ... 0.00 μB/cell

Unit cell a=3.816 b=3.816 c=3.695 alpha=90.00 beta=90.00 gamma=90.00
Atoms (fractional coordinates):
1 V 0.500 0.000 0.000
2 V 0.000 0.500 0.000
3 H 0.000 0.000 0.000
4 Pt 0.500 0.500 0.500
5 Fe 0.000 0.000 0.500

Entry Q
V2FeHPt: optimized geometry, PBE-GGA.

Values from the calculation:
Total magnetization ... 0.79 μB/cell

Unit cell a=3.784 b=3.784 c=3.865 alpha=90.00 beta=90.00 gamma=90.00
Atoms (fractional coordinates):
1 V 0.000 0.500 0.000
2 V 0.500 0.000 0.000
3 H 0.000 0.000 0.000
4 Pt 0.000 0.000 0.500
5 Fe 0.500 0.500 0.500

Ordering by calculated energy gives the sequence entry P, entry Q, with the first entry being the most stable.

Entry P
Fe2HPtW: optimized geometry, PBE-GGA.

Values from the calculation:
Total magnetization ... 0.94 μB/cell

Unit cell a=3.840 b=3.840 c=3.696 alpha=90.00 beta=90.00 gamma=90.00
Atoms (fractional coordinates):
1 Fe 0.000 0.500 0.000
2 Fe 0.500 0.000 0.000
3 W 0.500 0.500 0.500
4 Pt 0.000 0.000 0.500
5 H 0.000 0.000 0.000

Entry Q
Fe2HPtW: optimized geometry, PBE-GGA.

Values from the calculation:
Total magnetization ... 0.00 μB/cell

Unit cell a=3.781 b=3.781 c=3.791 alpha=90.00 beta=90.00 gamma=90.00
Atoms (fractional coordinates):
1 W 0.000 0.000 0.500
2 Fe 0.000 0.500 0.000
3 Fe 0.500 0.000 0.000
4 Pt 0.500 0.500 0.500
5 H 0.000 0.000 0.000

Ordering by calculated energy gives the sequence entry Q, entry P, with the first entry being the most stable.

Entry P
ZnFe2HPt: optimized geometry, PBE-GGA.

Values from the calculation:
Total magnetization ... 4.97 μB/cell

Unit cell a=3.721 b=3.721 c=4.011 alpha=90.00 beta=90.00 gamma=90.00
Atoms (fractional coordinates):
1 Fe 0.000 0.500 0.000
2 Fe 0.500 0.000 0.000
3 Pt 0.000 0.000 0.500
4 Zn 0.500 0.500 0.500
5 H 0.000 0.000 0.000

Entry Q
ZnFe2HPt: optimized geometry, PBE-GGA.

Values from the calculation:
Total magnetization ... 5.11 μB/cell

Unit cell a=3.658 b=3.658 c=4.137 alpha=90.00 beta=90.00 gamma=90.00
Atoms (fractional coordinates):
1 Fe 0.500 0.000 0.000
2 Fe 0.000 0.500 0.000
3 Pt 0.500 0.500 0.500
4 H 0.000 0.000 0.000
5 Zn 0.000 0.000 0.500

Ordering by calculated energy gives the sequence entry P, entry Q, with the first entry being the most stable.

Entry P
PuFeH: optimized geometry, PBE-GGA.

Values from the calculation:
Total magnetization ... 4.07 μB/cell

Unit cell a=3.653 b=3.653 c=5.762 alpha=103.62 beta=103.62 gamma=64.28
Atoms (fractional coordinates):
1 H 0.464 0.464 0.722
2 H 0.536 0.536 0.278
3 Fe 0.308 0.308 0.424
4 Fe 0.692 0.692 0.576
5 Pu 0.857 0.857 0.103
6 Pu 0.143 0.143 0.897

Entry Q
PuFeH: optimized geometry, PBE-GGA.

Values from the calculation:
Total magnetization ... 3.42 μB/cell

Unit cell a=3.451 b=3.651 c=3.651 alpha=120.00 beta=90.00 gamma=90.00
Atoms (fractional coordinates):
1 Pu 0.667 0.333 0.667
2 H 0.167 0.667 0.333
3 Fe 0.167 0.000 0.000

Ordering by calculated energy gives the sequence entry P, entry Q, with the first entry being the most stable.

Entry P
Rb2Fe2H: optimized geometry, PBE-GGA.

Values from the calculation:
Total magnetization ... 12.64 μB/cell

Unit cell a=9.682 b=9.682 c=3.726 alpha=90.00 beta=90.00 gamma=90.00
Atoms (fractional coordinates):
1 Fe 0.424 0.076 0.500
2 Fe 0.924 0.424 0.500
3 Fe 0.076 0.576 0.500
4 Fe 0.576 0.924 0.500
5 H 0.000 0.000 0.000
6 H 0.500 0.500 0.000
7 Rb 0.209 0.291 0.000
8 Rb 0.291 0.791 0.000
9 Rb 0.791 0.709 0.000
10 Rb 0.709 0.209 0.000

Entry Q
Rb2Fe2H: optimized geometry, PBE-GGA.

Values from the calculation:
Total magnetization ... 5.05 μB/cell

Unit cell a=3.408 b=3.408 c=10.242 alpha=80.42 beta=80.42 gamma=90.00
Atoms (fractional coordinates):
1 Rb 0.411 0.411 0.178
2 Rb 0.589 0.589 0.822
3 Fe 0.750 0.250 0.500
4 Fe 0.250 0.750 0.500
5 H 0.000 0.000 0.000

Ordering by calculated energy gives the sequence entry Q, entry P, with the first entry being the most stable.